Computed, not measured: an optimized crystal structure of Ho3SbS2 at the PBE level of DFT.

Energy in eV for the cell shown: -36.00
M_tot in μB per atom: 0.001

Cell lengths 4.0439, 4.0439, 9.8951 Å; angles 90.00, 90.00, 120.00 degrees
With the nearest neighbours (Å) after each atom.
Element x y z (fractional)
Ho 0.0000 0.0000 0.0000  6 S 2.79
Ho 0.3333 0.6667 0.3067  3 S 2.78, 3 Sb 3.02
Ho 0.6667 0.3333 0.6933  3 S 2.78, 3 Sb 3.02
Sb 0.0000 0.0000 0.5000  6 Ho 3.02
S 0.3333 0.6667 0.8461  6 Ho 2.78-2.79
S 0.6667 0.3333 0.1539  6 Ho 2.78-2.79